(1)
{"formula": "BePbW", "functional": "PBE-GGA", "state": "relaxed", "lattice": [[-1.457, 1.457, 7.097], [1.457, -1.457, 7.097], [1.457, 1.457, -7.097]], "species": ["Be", "Pb", "W"], "fractional_positions": [[0.000, 0.000, 0.000], [0.271, 0.271, 0.000], [0.599, 0.599, 0.000]], "total_energy_ev_per_cell": -17.8, "formation_energy_kj_per_mol_atoms": 82, "sg": "I4mm", "magmom_total_mub_per_cell": 0.00, "e_above_lowest_polymorph_ev_per_fu": 0.374}

(2)
{"formula": "BePbW4", "functional": "PBE-GGA", "state": "relaxed", "lattice": [[0.000, 3.793, 3.793], [3.793, 0.000, 3.793], [3.793, 3.793, 0.000]], "species": ["Be", "Pb", "W", "W", "W", "W"], "fractional_positions": [[0.000, 0.000, 0.000], [0.750, 0.750, 0.750], [0.374, 0.374, 0.374], [0.374, 0.374, 0.879], [0.374, 0.879, 0.374], [0.879, 0.374, 0.374]], "total_energy_ev_per_cell": -53.4, "formation_energy_kj_per_mol_atoms": 94, "sg": "F-43m", "magmom_total_mub_per_cell": 0.00}

(3)
{"formula": "BePbW2", "functional": "PBE-GGA", "state": "relaxed", "lattice": [[4.543, -1.613, 0.000], [4.543, 1.613, 0.000], [-0.679, 0.000, 4.784]], "species": ["Be", "Pb", "W", "W"], "fractional_positions": [[0.000, 0.000, 0.000], [0.500, 0.500, 0.500], [0.251, 0.251, 0.801], [0.749, 0.749, 0.199]], "total_energy_ev_per_cell": -30.2, "formation_energy_kj_per_mol_atoms": 75, "sg": "C2/m", "magmom_total_mub_per_cell": 0.00, "e_above_lowest_polymorph_ev_per_fu": 1.272}